# HfN2Cl

An optimized crystal structure of HfN2Cl (PBE-GGA, Alexandria via LeMat-Bulk).

## Properties
* calculated density: 8.6 g/cm³
* E_form (uncorrected): 342 kJ/mol of formula units
* energy above the lowest structure with this stoichiometry: 1189 meV per atom
* DOS at the Fermi energy: 3.850 states/eV/cell

The structure in POSCAR format:
```
HfN2Cl
1.0
-3.011 -2.413 1.213
-0.976 -0.202 3.920
-3.477 1.603 1.303
N Hf Cl
2 1 1
direct
0.750 0.750 0.750
0.250 0.250 0.250
0.500 0.500 0.500
0.000 0.000 0.000
```

=====

# PmSmMgRu

An optimized crystal structure of PmSmMgRu (PBE-GGA, Alexandria via LeMat-Bulk).

## Properties
* calculated density: 7.3 g/cm³
* energy above the lowest structure with this stoichiometry: 80 meV per atom
* DOS at the Fermi energy: 4.044 states/eV/cell

The structure in POSCAR format:
```
PmSmMgRu
1.0
5.137 0.000 0.000
2.568 4.448 0.000
2.568 1.483 4.194
Ru Pm Sm Mg
1 1 1 1
direct
0.750 0.750 0.750
0.500 0.500 0.500
0.000 0.000 0.000
0.250 0.250 0.250
```

=====

# LiPm5In4

An optimized crystal structure of LiPm5In4 (PBE-GGA, Alexandria via LeMat-Bulk).

## Properties
* calculated density: 7.0 g/cm³
* total DFT energy (no corrections): -4.05 eV/atom
* DOS at the Fermi energy: 4.457 states/eV/cell

The structure in POSCAR format:
```
LiPm5In4
1.0
-1.958 -1.818 -2.567
-0.904 -2.571 2.510
-16.709 10.828 5.076
Pm Li In
5 1 4
direct
0.500 0.500 0.500
0.500 0.500 0.703
0.500 0.500 0.097
0.500 0.500 0.297
0.500 0.500 0.903
0.000 0.000 0.000
0.000 0.000 0.398
0.000 0.000 0.602
0.000 0.000 0.807
0.000 0.000 0.193
```

=====

# ScCo2Hg

An optimized crystal structure of ScCo2Hg (PBE-GGA, Alexandria via LeMat-Bulk).

## Properties
* calculated density: 10.1 g/cm³
* total DFT energy (no corrections): -5.23 eV/atom
* DOS at the Fermi energy: 4.659 states/eV/cell

The structure in POSCAR format:
```
ScCo2Hg
1.0
-0.947 0.086 3.985
-1.702 -3.712 -0.325
3.147 -1.511 0.780
Co Hg Sc
2 1 1
direct
0.000 0.000 0.000
0.500 0.500 0.000
0.500 0.000 0.500
0.000 0.500 0.500
```

=====

# Y2PSe

An optimized crystal structure of Y2PSe (PBE-GGA, Alexandria via LeMat-Bulk).

## Properties
* calculated density: 3.7 g/cm³
* E_form (uncorrected): -492 kJ/mol of formula units
* energy above the lowest structure with this stoichiometry: 522 meV per atom
* DOS at the Fermi energy: 5.755 states/eV/cell

The structure in POSCAR format:
```
Y2PSe
1.0
6.348 0.000 0.000
0.000 6.348 0.000
3.174 3.174 6.328
Y P Se
4 2 2
direct
0.143 0.625 0.250
0.375 0.393 0.750
0.607 0.125 0.250
0.875 0.857 0.750
0.500 0.500 0.000
0.250 0.750 0.500
0.000 0.000 0.000
0.750 0.250 0.500
```

=====

# MnNb3

An optimized crystal structure of MnNb3 (PBE-GGA, Alexandria via LeMat-Bulk).

## Properties
* calculated density: 8.4 g/cm³
* total DFT energy (no corrections): -9.86 eV/atom
* DOS at the Fermi energy: 3.018 states/eV/cell

The structure in POSCAR format:
```
MnNb3
1.0
3.198 0.000 0.000
0.000 4.512 0.000
-1.599 -2.256 4.557
Nb Mn
3 1
direct
0.500 0.417 0.000
0.738 0.155 0.477
0.262 0.678 0.523
0.000 0.917 0.000
```

=====

# LiInGa2Co

An optimized crystal structure of LiInGa2Co (PBE-GGA, Alexandria via LeMat-Bulk).

## Properties
* calculated density: 5.2 g/cm³
* energy above the lowest structure with this stoichiometry: 0 meV per atom
* DOS at the Fermi energy: 2.908 states/eV/cell

The structure in POSCAR format:
```
LiInGa2Co
1.0
-3.108 0.371 -3.326
1.685 -3.748 -1.992
-3.096 -2.766 2.585
Ga Li In Co
2 1 1 1
direct
0.000 0.500 0.000
0.500 0.000 0.000
0.500 0.500 0.500
0.000 0.000 0.500
0.000 0.000 0.000
```

=====

# VCr2As

An optimized crystal structure of VCr2As (PBE-GGA, Alexandria via LeMat-Bulk).

## Properties
* calculated density: 7.6 g/cm³
* energy above the lowest structure with this stoichiometry: 18 meV per atom
* DOS at the Fermi energy: 2.711 states/eV/cell

The structure in POSCAR format:
```
VCr2As
1.0
4.141 0.000 0.000
2.071 3.587 0.000
2.071 1.196 3.382
Cr V As
2 1 1
direct
0.750 0.750 0.750
0.250 0.250 0.250
0.500 0.500 0.500
0.000 0.000 0.000
```

=====

# NaCaTm2Se4

An optimized crystal structure of NaCaTm2Se4 (PBE-GGA, Alexandria via LeMat-Bulk).

## Properties
* calculated density: 6.0 g/cm³
* E_form (uncorrected): -1368 kJ/mol of formula units
* DOS at the Fermi energy: 2.452 states/eV/cell

The structure in POSCAR format:
```
NaCaTm2Se4
1.0
4.072 0.000 0.000
0.000 7.049 0.143
0.000 -2.479 6.807
Se Tm Na Ca
4 2 1 1
direct
0.000 0.754 0.261
0.500 0.744 0.735
0.500 0.256 0.265
0.000 0.246 0.739
0.500 0.000 0.500
0.000 0.500 0.500
0.000 0.000 0.000
0.500 0.500 0.000
```

=====

# PmBi2IrO8

An optimized crystal structure of PmBi2IrO8 (PBE-GGA, Alexandria via LeMat-Bulk).

## Properties
* calculated density: 8.0 g/cm³
* E_form (uncorrected): -1605 kJ/mol of formula units
* DOS at the Fermi energy: 5.542 states/eV/cell

The structure in POSCAR format:
```
PmBi2IrO8
1.0
5.143 0.027 -0.003
0.071 5.202 -0.006
0.004 0.008 6.854
O Bi Pm Ir
8 2 1 1
direct
0.838 0.203 0.216
0.838 0.203 0.784
0.284 0.221 0.000
0.334 0.301 0.500
0.716 0.779 0.000
0.666 0.699 0.500
0.162 0.797 0.216
0.162 0.797 0.784
0.500 0.500 0.245
0.500 0.500 0.755
0.000 0.000 0.500
0.000 0.000 0.000
```

=====

# BaLiEu

An optimized crystal structure of BaLiEu (PBE-GGA, Alexandria via LeMat-Bulk).

## Properties
* calculated density: 3.8 g/cm³
* energy above the lowest structure with this stoichiometry: 0 meV per atom
* DOS at the Fermi energy: 2.669 states/eV/cell

The structure in POSCAR format:
```
BaLiEu
1.0
4.216 0.000 0.000
0.000 4.216 0.000
-2.108 -2.108 7.265
Ba Li Eu
1 1 1
direct
0.019 0.019 0.037
0.676 0.676 0.352
0.305 0.305 0.610
```

=====

# PrDyPuCd

An optimized crystal structure of PrDyPuCd (PBE-GGA, Alexandria via LeMat-Bulk).

## Properties
* calculated density: 9.4 g/cm³
* total DFT energy (no corrections): -6.08 eV/atom
* DOS at the Fermi energy: 15.677 states/eV/cell

The structure in POSCAR format:
```
PrDyPuCd
1.0
-1.639 -4.196 3.124
3.389 -2.106 3.760
-0.999 0.780 5.334
Pu Cd Pr Dy
1 1 1 1
direct
0.000 0.000 0.000
0.500 0.500 0.500
0.750 0.750 0.750
0.250 0.250 0.250
```

=====

# KScSe2O6

An optimized crystal structure of KScSe2O6 (PBE-GGA, Alexandria via LeMat-Bulk).

## Properties
* calculated density: 3.5 g/cm³
* E_form (uncorrected): -1613 kJ/mol of formula units
* DOS at the Fermi energy: 0.000 states/eV/cell

The structure in POSCAR format:
```
KScSe2O6
1.0
5.498 0.000 0.000
2.749 4.762 0.000
2.749 1.587 6.199
Se O K Sc
2 6 1 1
direct
0.732 0.732 0.804
0.268 0.268 0.196
0.485 0.297 0.302
0.916 0.485 0.302
0.703 0.084 0.698
0.084 0.515 0.698
0.297 0.916 0.302
0.515 0.703 0.698
0.000 0.000 0.000
0.500 0.500 0.500
```

=====

# PmEu2Dy

An optimized crystal structure of PmEu2Dy (PBE-GGA, Alexandria via LeMat-Bulk).

## Properties
* calculated density: 7.0 g/cm³
* energy above the lowest structure with this stoichiometry: 49 meV per atom
* DOS at the Fermi energy: 5.695 states/eV/cell

The structure in POSCAR format:
```
PmEu2Dy
1.0
-1.350 0.175 3.825
5.592 -0.597 2.001
0.649 5.933 -0.042
Dy Eu Pm
1 2 1
direct
0.500 0.500 0.500
0.000 0.500 0.000
0.000 0.000 0.500
0.500 0.000 0.000
```

=====

# Fe3BIr6

An optimized crystal structure of Fe3BIr6 (PBE-GGA, Alexandria via LeMat-Bulk).

## Properties
* calculated density: 16.7 g/cm³
* total DFT energy (no corrections): -8.51 eV/atom
* DOS at the Fermi energy: 19.507 states/eV/cell

The structure in POSCAR format:
```
Fe3BIr6
1.0
-0.352 2.170 3.627
1.977 -5.771 3.645
7.661 4.683 -2.059
Fe Ir B
6 12 2
direct
0.250 0.770 0.966
0.750 0.584 0.222
0.250 0.508 0.379
0.250 0.416 0.778
0.750 0.492 0.621
0.750 0.230 0.034
0.750 0.860 0.834
0.750 0.275 0.335
0.750 0.179 0.720
0.250 0.094 0.870
0.750 0.797 0.490
0.250 0.725 0.665
0.250 0.140 0.166
0.250 0.821 0.280
0.250 0.203 0.510
0.250 0.456 0.073
0.750 0.544 0.927
0.750 0.906 0.130
0.250 0.902 0.517
0.750 0.098 0.483
```

=====

# Pm6CdPd3

An optimized crystal structure of Pm6CdPd3 (PBE-GGA, Alexandria via LeMat-Bulk).

## Properties
* calculated density: 8.0 g/cm³
* total DFT energy (no corrections): -5.02 eV/atom
* DOS at the Fermi energy: 18.809 states/eV/cell

The structure in POSCAR format:
```
Pm6CdPd3
1.0
-2.543 -4.644 5.806
5.114 -5.987 -2.549
5.596 3.327 5.111
Pm Pd Cd
12 6 2
direct
0.649 0.157 0.843
0.399 0.019 0.504
0.148 0.679 0.679
0.148 0.158 0.842
0.399 0.496 0.981
0.149 0.843 0.157
0.899 0.981 0.496
0.148 0.321 0.321
0.648 0.321 0.321
0.648 0.842 0.158
0.648 0.679 0.679
0.899 0.504 0.019
0.399 0.383 0.617
0.899 0.874 0.876
0.399 0.126 0.124
0.899 0.124 0.126
0.899 0.617 0.383
0.399 0.876 0.874
0.398 0.630 0.370
0.898 0.370 0.630
```

=====

# Rb3RhO4

An optimized crystal structure of Rb3RhO4 (PBE-GGA, Alexandria via LeMat-Bulk).

## Properties
* calculated density: 3.9 g/cm³
* E_form (uncorrected): -803 kJ/mol of formula units

The structure in POSCAR format:
```
Rb3RhO4
1.0
5.650 0.000 0.000
0.000 5.829 0.000
0.000 0.000 10.829
O Rh Rb
8 2 6
direct
0.079 0.296 0.155
0.579 0.704 0.655
0.079 0.296 0.845
0.579 0.704 0.345
0.044 0.862 0.000
0.544 0.138 0.500
0.161 0.809 0.500
0.661 0.191 0.000
0.996 0.179 0.000
0.496 0.821 0.500
0.543 0.706 0.000
0.557 0.245 0.752
0.057 0.755 0.252
0.557 0.245 0.248
0.057 0.755 0.748
0.043 0.294 0.500
```

=====

# AcPmH6Pt2

An optimized crystal structure of AcPmH6Pt2 (PBE-GGA, Alexandria via LeMat-Bulk).

## Properties
* calculated density: 9.7 g/cm³
* total DFT energy (no corrections): -4.66 eV/atom
* DOS at the Fermi energy: 2.026 states/eV/cell

The structure in POSCAR format:
```
AcPmH6Pt2
1.0
6.463 0.287 -0.464
-0.507 6.450 -0.464
-2.168 -2.452 6.644
H Pm Ac Pt
12 2 2 4
direct
0.412 0.615 0.094
0.385 0.588 0.406
0.821 0.773 0.396
0.980 0.431 0.609
0.020 0.569 0.391
0.431 0.980 0.109
0.588 0.385 0.906
0.227 0.179 0.104
0.615 0.412 0.594
0.179 0.227 0.604
0.773 0.821 0.896
0.569 0.020 0.891
0.631 0.369 0.250
0.369 0.631 0.750
0.875 0.125 0.750
0.125 0.875 0.250
0.383 0.133 0.752
0.617 0.867 0.248
0.133 0.383 0.252
0.867 0.617 0.748
```

=====

# La3Dy6HoTh2

An optimized crystal structure of La3Dy6HoTh2 (PBE-GGA, Alexandria via LeMat-Bulk).

## Properties
* calculated density: 8.5 g/cm³
* total DFT energy (no corrections): -5.13 eV/atom
* DOS at the Fermi energy: 15.791 states/eV/cell

The structure in POSCAR format:
```
La3Dy6HoTh2
1.0
-5.872 -1.760 1.122
4.698 -2.662 3.111
-0.472 9.644 6.880
Dy La Th Ho
6 3 2 1
direct
0.582 0.919 0.757
0.081 0.418 0.243
0.418 0.081 0.243
0.256 0.256 0.757
0.919 0.582 0.757
0.744 0.744 0.243
0.500 0.500 0.500
0.834 0.166 0.500
0.166 0.834 0.500
0.667 0.333 0.000
0.333 0.667 0.000
0.000 0.000 0.000
```

=====

# Li2SmCu9

An optimized crystal structure of Li2SmCu9 (PBE-GGA, Alexandria via LeMat-Bulk).

## Properties
* calculated density: 7.1 g/cm³
* total DFT energy (no corrections): -3.90 eV/atom
* DOS at the Fermi energy: 10.763 states/eV/cell

The structure in POSCAR format:
```
Li2SmCu9
1.0
-3.257 2.104 3.041
-5.935 -5.141 -2.800
1.978 -5.514 5.932
Cu Sm Li
18 2 4
direct
0.756 0.319 0.181
0.244 0.319 0.181
0.500 0.710 0.561
0.500 0.939 0.790
0.756 0.681 0.819
0.756 0.819 0.319
0.244 0.681 0.819
0.500 0.561 0.290
0.500 0.000 0.500
0.756 0.181 0.681
0.244 0.819 0.319
0.500 0.500 0.000
0.500 0.061 0.210
0.500 0.210 0.939
0.500 0.439 0.710
0.244 0.181 0.681
0.500 0.790 0.061
0.500 0.290 0.439
0.000 0.500 0.500
0.000 0.000 0.000
0.000 0.887 0.613
0.000 0.613 0.113
0.000 0.387 0.887
0.000 0.113 0.387
```

=====

# La2HfPb

An optimized crystal structure of La2HfPb (PBE-GGA, Alexandria via LeMat-Bulk).

## Properties
* calculated density: 8.9 g/cm³
* total DFT energy (no corrections): -5.65 eV/atom
* DOS at the Fermi energy: 11.359 states/eV/cell

The structure in POSCAR format:
```
La2HfPb
1.0
8.893 0.000 0.000
0.000 8.893 0.000
4.447 4.447 3.141
Pb La Hf
2 4 2
direct
0.750 0.250 0.500
0.000 0.000 0.000
0.875 0.878 0.750
0.375 0.372 0.750
0.628 0.125 0.250
0.122 0.625 0.250
0.250 0.750 0.500
0.500 0.500 0.000
```

=====

# TbYZr2As4

An optimized crystal structure of TbYZr2As4 (PBE-GGA, Alexandria via LeMat-Bulk).

## Properties
* calculated density: 6.7 g/cm³
* total DFT energy (no corrections): -7.17 eV/atom
* DOS at the Fermi energy: 4.292 states/eV/cell

The structure in POSCAR format:
```
TbYZr2As4
1.0
-1.218 -3.359 1.733
6.473 -2.350 -0.006
-1.180 3.482 5.918
Y As Zr Tb
1 4 2 1
direct
0.000 0.000 0.000
0.000 0.245 0.736
0.000 0.755 0.264
0.500 0.746 0.736
0.500 0.254 0.264
0.500 0.000 0.500
0.000 0.500 0.500
0.500 0.500 0.000
```

=====

# ScTlSe3

An optimized crystal structure of ScTlSe3 (PBE-GGA, Alexandria via LeMat-Bulk).

## Properties
* calculated density: 5.5 g/cm³
* E_form (uncorrected): 109 kJ/mol of formula units
* energy above the lowest structure with this stoichiometry: 908 meV per atom
* DOS at the Fermi energy: 1.999 states/eV/cell

The structure in POSCAR format:
```
ScTlSe3
1.0
5.284 0.000 0.000
0.000 5.284 0.000
0.000 0.000 5.284
Se Sc Tl
3 1 1
direct
0.000 0.500 0.000
0.000 0.000 0.500
0.500 0.000 0.000
0.500 0.500 0.500
0.000 0.000 0.000
```